SrBeMoO5: relaxed, GGA+U.

Cell lengths 5.5598, 5.5598, 7.3775 Å; angles 104.71, 104.71, 105.53 degrees
Fractional coordinates of all 16 atoms:
O1 0.9363 0.0637 0.7500
O2 0.1141 0.7092 0.8882
O3 0.8859 0.2908 0.1118
O4 0.2908 0.8859 0.6118
O5 0.7092 0.1141 0.3882
O6 0.3692 0.2307 0.1009
O7 0.6308 0.7693 0.8991
O8 0.7693 0.6308 0.3991
O9 0.0637 0.9363 0.2500
O10 0.2307 0.3692 0.6009
Be1 0.3123 0.6877 0.7500
Be2 0.6877 0.3123 0.2500
Mo1 0.0000 0.0000 0.0000
Mo2 0.0000 0.0000 0.5000
Sr1 0.3364 0.6636 0.2500
Sr2 0.6636 0.3364 0.7500

## Properties
- Total DFT energy (no corrections): -6.907 eV per atom
- Crystal system: monoclinic
- Space group: C2/c (15)
- Total magnetic moment: 0.0 μB/f.u.